Below is NbAsPbSe2 at its PBEsol-relaxed geometry, with properties calculated at the SCAN level.

The structure in POSCAR format:
```
NbAsPbSe2
1.0
5.233 0.000 0.000
0.000 5.233 0.000
0.000 0.000 5.178
Nb As Pb Se
1 1 1 2
Cartesian
0.000 0.000 0.000
2.616 2.616 0.000
2.616 2.616 2.589
0.000 2.616 2.589
2.616 0.000 2.589
```

Values from the calculation:
As for the crystal system: tetragonal.


Below is NbTe2AsPb at its PBEsol-relaxed geometry, with properties calculated at the SCAN level.

The structure in POSCAR format:
```
NbTe2AsPb
1.0
5.237 0.000 0.000
0.000 5.237 0.000
0.000 0.000 5.589
Nb Te As Pb
1 2 1 1
Cartesian
0.000 0.000 0.000
0.000 2.619 0.000
2.619 0.000 0.000
2.619 2.619 2.795
0.000 0.000 2.795
```

Values from the calculation:
As for the crystal system: tetragonal.


In order of appearance, total DFT energy (no corrections) = -163.66; -200.91 eV for the cell shown.